LiTiFeO4 | GGA+U | optimized geometry

The crystal system is orthorhombic. Its spin magnetization is 5.00 μB/cell. The polymorph energy (0 for the lowest one) is 0.050 eV per atom.

a = 5.466 Å, b = 5.466 Å, c = 5.466 Å
α = 138.35°, β = 136.96°, γ = 61.44°
Atoms (fractional coordinates):
Li 0.543 0.543 0.000
O 0.045 0.545 0.500
O 0.469 0.969 0.500
O 0.781 0.781 0.000
O 0.224 0.224 0.000
Fe 0.001 0.001 0.000
Ti 0.260 0.760 0.500